Entry 1:
V2Fe6Mo, optimized geometry, DFT PBE-GGA; SG = P-3m1 (164); raw total energy = -8.62 eV per atom; ΔH_f (0 K) = 247 meV/atom
1.0
4.923 0.000 0.000
-2.461 4.263 0.000
0.000 0.000 5.460
V Fe Mo
2 6 1
Direct
0.333 0.667 0.364
0.667 0.333 0.636
0.177 0.355 0.832
0.177 0.823 0.832
0.355 0.177 0.168
0.645 0.823 0.832
0.823 0.177 0.168
0.823 0.645 0.168
0.000 0.000 0.500

---

Entry 2:
CuPbAu2, optimized geometry, DFT PBE-GGA; SG = R3m (160); raw total energy = -3.54 eV per atom; ΔH_f (0 K) = 48 meV/atom
1.0
4.408 0.000 0.000
-2.204 3.817 0.000
0.000 0.000 14.983
Cu Pb Au
3 3 6
Direct
0.000 0.000 0.000
0.333 0.667 0.667
0.667 0.333 0.333
0.000 0.000 0.814
0.333 0.667 0.481
0.667 0.333 0.147
0.000 0.000 0.372
0.000 0.000 0.599
0.333 0.667 0.039
0.333 0.667 0.266
0.667 0.333 0.705
0.667 0.333 0.933

---

Entry 3:
MnRhSe, optimized geometry, DFT PBE-GGA; SG = P-6m2 (187); raw total energy = -6.72 eV per atom; formation energy from raw total energies = -5 kJ/mol of atoms; offset from the most stable computed form = 0.156 eV/atom
1.0
4.220 0.000 0.000
-2.110 3.655 0.000
0.000 0.000 3.103
Mn Rh Se
1 1 1
Direct
0.000 0.000 0.000
0.333 0.667 0.500
0.667 0.333 0.500